Here is an optimized crystal structure of CaSb2PI from Alexandria via LeMat-Bulk. Energies are from PBE-GGA.

extended XYZ file:
```
5
Lattice="5.988 0.000 0.000 0.000 5.988 0.000 0.000 0.000 5.821" Properties=species:S:1:pos:R:3 pbc="T T T"
I 0.000 0.000 2.910
Sb 0.000 2.994 0.000
Sb 2.994 0.000 0.000
Ca 0.000 0.000 0.000
P 2.994 2.994 2.910
```

Results
For the energy relative to the elements, uncorrected, the calculation gives 18.225 kcal/mol of atoms. As for the magnetization: 0.8 μB/f.u.